Material: Sm5FeHg2
Method: DFT, PBE-GGA
State: relaxed

Summary:
- Calculated volume: 443.95 Å³ per cell
- E_tot: -4.29 eV per atom

CIF file:
```
data_Sm5FeHg2
_chemical_formula_sum 'Sm10 Fe2 Hg4'
_space_group_name_H-M_alt 'P b a m'
_space_group_IT_number 55
_cell_length_a 7.809
_cell_length_b 11.775
_cell_length_c 4.828
_cell_angle_alpha 90.00
_cell_angle_beta 90.00
_cell_angle_gamma 90.00
loop_
_space_group_symop_operation_xyz
'x,y,z'
'-x,-y,-z'
'-x,-y,z'
'x,y,-z'
'x+1/2,-y+1/2,-z'
'-x+1/2,y+1/2,z'
'-x+1/2,y+1/2,-z'
'x+1/2,-y+1/2,z'
loop_
_atom_site_label
_atom_site_type_symbol
_atom_site_fract_x
_atom_site_fract_y
_atom_site_fract_z
Sm1 Sm 0.000 0.000 0.000
Sm2 Sm 0.137 0.304 0.000
Sm3 Sm 0.181 0.573 0.500
Fe1 Fe 0.000 0.500 0.000
Hg1 Hg 0.076 0.834 0.500
```

Material: DyTmNp2S4
Method: DFT, PBE-GGA
State: relaxed

Summary:
- Calculated volume: 166.83 Å³ per cell
- E_tot: -8.11 eV per atom
- Formation energy (no corrections): -1.680 eV/atom

CIF file:
```
data_DyTmNp2S4
_chemical_formula_sum 'Dy1 Tm1 Np2 S4'
_space_group_name_H-M_alt 'P 1 2/m 1'
_space_group_IT_number 10
_cell_length_a 6.739
_cell_length_b 3.888
_cell_length_c 6.750
_cell_angle_alpha 90.00
_cell_angle_beta 109.39
_cell_angle_gamma 90.00
loop_
_space_group_symop_operation_xyz
'x,y,z'
'-x,-y,-z'
'-x,y,-z'
'x,-y,z'
loop_
_atom_site_label
_atom_site_type_symbol
_atom_site_fract_x
_atom_site_fract_y
_atom_site_fract_z
Dy1 Dy 0.000 0.000 0.000
Tm1 Tm 0.000 0.500 0.500
Np1 Np 0.500 0.000 0.500
Np2 Np 0.500 0.500 0.000
S1 S 0.246 0.000 0.746
S2 S 0.248 0.500 0.252
```

Material: HfIrO3
Method: DFT, PBE-GGA
State: relaxed

Summary:
- Calculated volume: 59.94 Å³ per cell
- E_tot: -7.28 eV per atom
- Formation energy (no corrections): -0.547 eV/atom

CIF file:
```
data_HfIrO3
_chemical_formula_sum 'Hf1 Ir1 O3'
_space_group_name_H-M_alt 'P m -3 m'
_space_group_IT_number 221
_space_group_name_Hall '-P 4 2 3'
_cell_length_a 3.913
_cell_length_b 3.913
_cell_length_c 3.913
_cell_angle_alpha 90.00
_cell_angle_beta 90.00
_cell_angle_gamma 90.00
loop_
_atom_site_label
_atom_site_type_symbol
_atom_site_fract_x
_atom_site_fract_y
_atom_site_fract_z
Hf1 Hf 0.000 0.000 0.000
Ir1 Ir 0.500 0.500 0.500
O1 O 0.000 0.500 0.500
```

Material: Mg2CdSb2
Method: DFT, PBE-GGA
State: relaxed

Summary:
- Energy relative to the lowest polymorph listed for this composition: 1.80 kcal/mol of atoms
- Calculated volume: 253.69 Å³ per cell
- E_tot: -2.59 eV per atom
- Formation energy (no corrections): -0.118 eV/atom

CIF file:
```
data_Mg2CdSb2
_chemical_formula_sum 'Mg4 Cd2 Sb4'
_space_group_name_H-M_alt 'P 4/m b m'
_space_group_IT_number 127
_space_group_name_Hall '-P 4 2ab'
_cell_length_a 8.811
_cell_length_b 8.811
_cell_length_c 3.267
_cell_angle_alpha 90.00
_cell_angle_beta 90.00
_cell_angle_gamma 90.00
loop_
_atom_site_label
_atom_site_type_symbol
_atom_site_fract_x
_atom_site_fract_y
_atom_site_fract_z
Mg1 Mg 0.139 0.361 0.000
Cd1 Cd 0.000 0.000 0.500
Sb1 Sb 0.159 0.659 0.500
```

Which of these has the lowest E_tot? DyTmNp2S4